# Li2FeNiP2O8 PBE+U relaxed
# Space group ... P2_1/m (11)
# VASP energy ... -183.4 eV/cell
# Magnetization ... 6.0 μB/f.u.
data_Li2FeNiP2O8
_chemical_formula_sum 'Li4 Fe2 Ni2 P4 O16'
_symmetry_space_group_name_H-M 'P 1'
_symmetry_Int_Tables_number 1
_symmetry_space_group_name_Hall 'P 1'
_cell_length_a 4.739
_cell_length_b 6.007
_cell_length_c 10.299
_cell_angle_alpha 90.00
_cell_angle_beta 90.24
_cell_angle_gamma 90.00
loop_
_atom_site_label
_atom_site_type_symbol
_atom_site_fract_x
_atom_site_fract_y
_atom_site_fract_z
_atom_site_occupancy
Li1 Li 0.000 0.000 0.000 1
Li2 Li 0.000 0.500 0.000 1
Li3 Li 0.500 0.000 0.500 1
Li4 Li 0.500 0.500 0.500 1
Fe1 Fe 0.024 0.250 0.277 1
Fe2 Fe 0.976 0.750 0.723 1
Ni1 Ni 0.483 0.250 0.780 1
Ni2 Ni 0.517 0.750 0.220 1
P1 P 0.083 0.750 0.402 1
P2 P 0.419 0.750 0.909 1
P3 P 0.581 0.250 0.091 1
P4 P 0.917 0.250 0.598 1
O1 O 0.202 0.750 0.543 1
O2 O 0.222 0.546 0.332 1
O3 O 0.222 0.954 0.332 1
O4 O 0.242 0.250 0.603 1
O5 O 0.258 0.250 0.093 1
O6 O 0.283 0.544 0.838 1
O7 O 0.283 0.956 0.838 1
O8 O 0.295 0.750 0.049 1
O9 O 0.705 0.250 0.951 1
O10 O 0.717 0.044 0.162 1
O11 O 0.717 0.456 0.162 1
O12 O 0.742 0.750 0.907 1
O13 O 0.758 0.750 0.397 1
O14 O 0.778 0.046 0.668 1
O15 O 0.778 0.454 0.668 1
O16 O 0.798 0.250 0.457 1